The following is a DFT calculation (PBE) of a relaxed Tl2Pb crystal.

The structure in POSCAR format:
```
Tl2Pb
1.0
10.406 0.000 0.000
5.203 9.012 0.000
5.203 3.004 8.497
Pb Tl
8 16
direct
0.716 0.716 0.852
0.716 0.716 0.216
0.716 0.352 0.216
0.352 0.716 0.216
0.284 0.284 0.148
0.284 0.284 0.784
0.284 0.648 0.784
0.648 0.284 0.784
0.000 0.500 0.000
0.500 0.000 0.000
0.500 0.500 0.000
0.500 0.500 0.500
0.933 0.933 0.817
0.933 0.317 0.817
0.317 0.933 0.817
0.933 0.317 0.433
0.317 0.933 0.433
0.317 0.317 0.433
0.067 0.067 0.183
0.067 0.683 0.183
0.683 0.067 0.183
0.067 0.683 0.567
0.683 0.067 0.567
0.683 0.683 0.567
```

Output
Polymorph energy (0 for the lowest one) (eV per atom): 0.069



The following is a DFT calculation (PBE) of a relaxed TlPb3 crystal.

The structure in POSCAR format:
```
TlPb3
1.0
-5.574 -3.811 -0.908
0.264 -4.994 -4.627
2.207 2.746 5.831
Pb Tl
3 1
direct
0.763 0.756 0.007
0.251 0.244 0.007
0.162 0.500 0.662
0.658 0.000 0.658
```

Output
Total DFT energy (no corrections) (Ha/atom): -0.1234



The following is a DFT calculation (PBE) of a relaxed Tl5Pb crystal.

The structure in POSCAR format:
```
Tl5Pb
1.0
5.124 0.000 0.000
0.000 5.183 0.000
0.000 2.592 6.969
Pb Tl
1 5
direct
0.000 0.500 0.000
0.500 0.335 0.331
0.000 0.165 0.670
0.500 0.000 0.000
0.000 0.835 0.330
0.500 0.665 0.669
```

Output
Polymorph energy (0 for the lowest one) (eV per atom): 0.013



The following is a DFT calculation (PBE) of a relaxed Tl3Pb crystal.

The structure in POSCAR format:
```
Tl3Pb
1.0
-5.281 1.069 -4.017
3.208 -3.057 -5.053
-2.293 -5.131 1.648
Pb Tl
2 6
direct
0.416 0.584 0.250
0.584 0.416 0.750
0.928 0.072 0.750
0.072 0.928 0.250
0.080 0.576 0.750
0.920 0.424 0.250
0.424 0.920 0.750
0.576 0.080 0.250
```

Output
Polymorph energy (0 for the lowest one) (eV per atom): 0.075



The following is a DFT calculation (PBE) of a relaxed Tl2Pb crystal.

The structure in POSCAR format:
```
Tl2Pb
1.0
-1.361 0.901 -3.125
1.212 -3.003 -1.394
-13.274 -6.080 6.017
Tl Pb
4 2
direct
0.578 0.578 0.157
0.672 0.172 0.343
0.422 0.422 0.843
0.828 0.328 0.657
0.000 0.000 0.000
0.250 0.750 0.500
```

Output
Polymorph energy (0 for the lowest one) (eV per atom): 0.017



The following is a DFT calculation (PBE) of a relaxed TlPb6 crystal.

The structure in POSCAR format:
```
TlPb6
1.0
6.614 0.000 0.000
0.000 6.614 0.000
0.000 0.000 10.809
Tl Pb
2 12
direct
0.500 0.000 0.000
0.000 0.500 0.000
0.500 0.500 0.147
0.000 0.000 0.147
0.000 0.000 0.853
0.500 0.500 0.853
0.816 0.684 0.356
0.316 0.816 0.356
0.684 0.184 0.356
0.184 0.316 0.356
0.684 0.816 0.644
0.184 0.684 0.644
0.816 0.316 0.644
0.316 0.184 0.644
```

Output
Polymorph energy (0 for the lowest one) (eV per atom): 0.042



The following is a DFT calculation (PBE) of a relaxed TlPb2 crystal.

The structure in POSCAR format:
```
TlPb2
1.0
-4.914 2.885 -0.346
1.801 -1.977 5.044
1.649 2.873 0.537
Pb Tl
2 1
direct
0.333 0.667 0.371
0.667 0.333 0.629
0.000 0.000 0.000
```

Output
Polymorph energy (0 for the lowest one) (eV per atom): 0.040



The following is a DFT calculation (PBE) of a relaxed Tl5Pb2 crystal.

The structure in POSCAR format:
```
Tl5Pb2
1.0
-3.011 0.955 5.495
-6.994 -4.837 -2.991
5.121 -6.545 0.289
Tl Pb
10 4
direct
0.300 0.466 0.282
0.018 0.034 0.718
0.130 0.676 0.570
0.560 0.824 0.430
0.870 0.324 0.430
0.440 0.176 0.570
0.982 0.966 0.282
0.700 0.534 0.718
0.839 0.250 0.000
0.161 0.750 0.000
0.278 0.388 0.862
0.416 0.112 0.138
0.722 0.612 0.138
0.584 0.888 0.862
```

Output
Total DFT energy (no corrections) (Ha/atom): -0.1007



The following is a DFT calculation (PBE) of a relaxed Tl5Pb crystal.

The structure in POSCAR format:
```
Tl5Pb
1.0
9.103 0.088 0.000
-8.429 3.440 0.000
0.000 0.000 5.815
Pb Tl
1 5
direct
0.999 0.001 0.000
0.332 0.668 0.000
0.663 0.337 0.000
0.448 0.552 0.500
0.779 0.221 0.500
0.112 0.888 0.500
```

Output
Polymorph energy (0 for the lowest one) (eV per atom): 0.018



The following is a DFT calculation (PBE) of a relaxed Tl2Pb7 crystal.

The structure in POSCAR format:
```
Tl2Pb7
1.0
6.037 0.000 0.000
-3.019 5.228 0.000
0.000 0.000 8.908
Tl Pb
2 7
direct
0.333 0.667 0.000
0.667 0.333 0.000
0.000 0.000 0.000
0.669 0.000 0.333
0.000 0.669 0.333
0.331 0.331 0.333
0.000 0.331 0.667
0.331 0.000 0.667
0.669 0.669 0.667
```

Output
Polymorph energy (0 for the lowest one) (eV per atom): 0.000



The following is a DFT calculation (PBE) of a relaxed Tl3Pb crystal.

The structure in POSCAR format:
```
Tl3Pb
1.0
-0.184 3.104 -1.722
-2.271 -0.705 2.641
7.216 4.543 7.418
Tl Pb
3 1
direct
0.333 0.667 0.000
0.000 0.000 0.751
0.000 0.000 0.249
0.667 0.333 0.500
```

Output
Polymorph energy (0 for the lowest one) (eV per atom): 0.003



The following is a DFT calculation (PBE) of a relaxed Tl3Pb crystal.

The structure in POSCAR format:
```
Tl3Pb
1.0
5.722 0.000 0.000
0.000 7.062 0.000
0.000 -3.531 6.116
Tl Pb
6 2
direct
0.750 0.337 0.169
0.250 0.663 0.831
0.750 0.831 0.663
0.250 0.169 0.337
0.750 0.831 0.169
0.250 0.169 0.831
0.750 0.333 0.667
0.250 0.667 0.333
```

Output
Polymorph energy (0 for the lowest one) (eV per atom): 0.004



The following is a DFT calculation (PBE) of a relaxed Tl24Pb5 crystal.

The structure in POSCAR format:
```
Tl24Pb5
1.0
-1.198 5.510 8.927
6.052 -8.449 1.864
4.602 6.084 -7.300
Pb Tl
5 24
direct
0.000 0.661 0.000
0.661 0.000 0.000
0.000 0.000 0.661
0.339 0.339 0.339
0.000 0.000 0.000
0.191 0.377 0.000
0.377 0.191 0.000
0.809 0.809 0.187
0.623 0.623 0.813
0.809 0.187 0.809
0.623 0.813 0.623
0.377 0.000 0.191
0.191 0.000 0.377
0.000 0.377 0.191
0.000 0.191 0.377
0.813 0.623 0.623
0.187 0.809 0.809
0.688 0.412 0.000
0.412 0.688 0.000
0.312 0.312 0.725
0.588 0.588 0.275
0.312 0.725 0.312
0.588 0.275 0.588
0.412 0.000 0.688
0.688 0.000 0.412
0.000 0.412 0.688
0.000 0.688 0.412
0.275 0.588 0.588
0.725 0.312 0.312
```

Output
Total DFT energy (no corrections) (Ha/atom): -0.0942



The following is a DFT calculation (PBE) of a relaxed Tl4Pb crystal.

The structure in POSCAR format:
```
Tl4Pb
1.0
6.864 0.000 0.000
3.432 8.371 -1.609
3.432 -0.787 5.639
Tl Pb
8 2
direct
0.786 0.619 0.809
0.286 0.619 0.809
0.833 0.224 0.611
0.333 0.224 0.611
0.667 0.776 0.389
0.167 0.776 0.389
0.714 0.381 0.191
0.214 0.381 0.191
0.750 0.000 0.000
0.250 0.000 0.000
```

Output
Polymorph energy (0 for the lowest one) (eV per atom): 0.019



The following is a DFT calculation (PBE) of a relaxed Tl5Pb crystal.

The structure in POSCAR format:
```
Tl5Pb
1.0
-6.088 2.554 1.091
-5.866 -0.283 3.207
1.403 4.988 6.543
Pb Tl
1 5
direct
0.001 0.001 0.000
0.334 0.334 0.332
0.664 0.664 0.671
0.613 0.613 0.277
0.942 0.942 0.611
0.280 0.280 0.943
```

Output
Polymorph energy (0 for the lowest one) (eV per atom): 0.009



The following is a DFT calculation (PBE) of a relaxed Tl2Pb crystal.

The structure in POSCAR format:
```
Tl2Pb
1.0
-2.780 -4.185 -3.346
3.259 -4.675 -1.988
-2.002 3.042 4.814
Pb Tl
1 2
direct
0.000 0.000 0.000
0.665 0.665 0.000
0.335 0.335 0.000
```

Output
Polymorph energy (0 for the lowest one) (eV per atom): 0.005



The following is a DFT calculation (PBE) of a relaxed TlPb3 crystal.

The structure in POSCAR format:
```
TlPb3
1.0
-4.345 -1.885 3.516
2.103 0.086 2.644
-1.264 6.031 1.671
Pb Tl
3 1
direct
0.000 0.969 0.994
0.500 0.750 0.750
0.000 0.531 0.506
0.500 0.250 0.250
```

Output
Total DFT energy (no corrections) (Ha/atom): -0.1226



The following is a DFT calculation (PBE) of a relaxed TlPb3 crystal.

The structure in POSCAR format:
```
TlPb3
1.0
-2.932 1.209 5.150
-2.259 -5.218 2.061
5.608 1.431 -1.756
Pb Tl
3 1
direct
0.250 0.750 0.500
0.500 0.500 0.000
0.750 0.250 0.500
0.000 0.000 0.000
```

Output
Total DFT energy (no corrections) (Ha/atom): -0.1240



The following is a DFT calculation (PBE) of a relaxed Tl2Pb crystal.

The structure in POSCAR format:
```
Tl2Pb
1.0
-0.632 -2.931 -5.700
-2.131 -2.876 5.355
-9.548 4.621 -1.317
Pb Tl
4 8
direct
0.333 0.667 0.051
0.667 0.333 0.551
0.667 0.333 0.949
0.333 0.667 0.449
0.000 0.000 0.000
0.000 0.000 0.500
0.829 0.658 0.250
0.171 0.342 0.750
0.342 0.171 0.250
0.829 0.171 0.250
0.171 0.829 0.750
0.658 0.829 0.750
```

Output
Polymorph energy (0 for the lowest one) (eV per atom): 0.096



The following is a DFT calculation (PBE) of a relaxed Tl3Pb7 crystal.

The structure in POSCAR format:
```
Tl3Pb7
1.0
0.470 -4.956 -3.115
5.202 -2.069 4.077
-6.216 -0.589 5.533
Tl Pb
3 7
direct
0.000 0.000 0.000
0.200 0.812 0.401
0.800 0.188 0.599
0.000 0.500 0.000
0.201 0.314 0.402
0.799 0.686 0.598
0.403 0.105 0.806
0.597 0.895 0.194
0.400 0.603 0.801
0.600 0.397 0.199
```

Output
Polymorph energy (0 for the lowest one) (eV per atom): 0.000



The following is a DFT calculation (PBE) of a relaxed Tl2Pb crystal.

The structure in POSCAR format:
```
Tl2Pb
1.0
6.714 -0.022 -0.095
5.762 3.447 -0.095
2.097 0.576 7.991
Pb Tl
2 4
direct
0.669 0.669 0.666
0.609 0.609 0.279
0.999 0.999 0.000
0.329 0.329 0.338
0.949 0.949 0.607
0.279 0.279 0.945
```

Output
Polymorph energy (0 for the lowest one) (eV per atom): 0.009



The following is a DFT calculation (PBE) of a relaxed Tl3Pb13 crystal.

The structure in POSCAR format:
```
Tl3Pb13
1.0
8.445 0.032 0.000
0.002 8.445 0.000
0.000 0.000 7.090
Tl Pb
3 13
direct
0.000 0.000 0.252
0.751 0.249 0.000
0.000 0.000 0.748
0.499 0.999 0.253
0.499 0.501 0.251
0.001 0.501 0.253
0.749 0.747 0.000
0.253 0.251 0.000
0.251 0.749 0.000
0.499 0.999 0.747
0.499 0.501 0.749
0.001 0.501 0.747
0.746 0.254 0.500
0.748 0.748 0.500
0.252 0.252 0.500
0.253 0.747 0.500
```

Output
Total DFT energy (no corrections) (Ha/atom): -0.1262



The following is a DFT calculation (PBE) of a relaxed Tl2Pb crystal.

The structure in POSCAR format:
```
Tl2Pb
1.0
-2.438 -5.835 -1.412
3.844 -5.216 0.050
-0.646 -4.456 4.660
Pb Tl
2 4
direct
0.000 0.000 0.000
0.250 0.250 0.250
0.125 0.625 0.625
0.625 0.125 0.625
0.625 0.625 0.625
0.625 0.625 0.125
```

Output
Polymorph energy (0 for the lowest one) (eV per atom): 0.098